The following is a DFT calculation (PBE-GGA) of a relaxed structure of TiTc2Ir2.

Structure (CIF):
```
data_TiTc2Ir2
_cell_length_a 7.5529
_cell_length_b 7.5529
_cell_length_c 2.7405
_cell_angle_alpha 90.00
_cell_angle_beta 90.00
_cell_angle_gamma 90.00
_space_group_name_H-M_alt 'P 4/m b m'
_space_group_IT_number 127
_space_group_name_Hall '-P 4 2ab'
loop_
_atom_site_label
_atom_site_type_symbol
_atom_site_fract_x
_atom_site_fract_y
_atom_site_fract_z
Ti1 Ti 0.0000 0.0000 0.0000
Tc1 Tc 0.1739 0.3261 0.5000
Ir1 Ir 0.1237 0.6237 0.0000
```

Summary:
calculated density	13.3	g/cm3
DOS(E_F)	5.28	states/eV/f.u.
total energy	-94.2	eV for the cell shown
E above lowest polymorph	0.03	eV per formula unit
energy relative to the elements	-14	kJ/mol of atoms

***

The following is a DFT calculation (PBE-GGA) of a relaxed structure of Hf2Mg2Sb.

Structure (CIF):
```
data_Hf2Mg2Sb
_cell_length_a 7.1594
_cell_length_b 7.1594
_cell_length_c 4.3041
_cell_angle_alpha 90.00
_cell_angle_beta 90.00
_cell_angle_gamma 90.00
_space_group_name_H-M_alt 'P 4/m b m'
_space_group_IT_number 127
_space_group_name_Hall '-P 4 2ab'
loop_
_atom_site_label
_atom_site_type_symbol
_atom_site_fract_x
_atom_site_fract_y
_atom_site_fract_z
Hf1 Hf 0.1583 0.3417 0.0000
Mg1 Mg 0.1335 0.6335 0.5000
Sb1 Sb 0.0000 0.0000 0.5000
```

Summary:
calculated density	7.9	g/cm3
DOS(E_F)	3.21	states/eV/f.u.
total energy	-52.4	eV for the cell shown
E above lowest polymorph	0.76	eV per formula unit

***

The following is a DFT calculation (PBE-GGA) of a relaxed structure of KAgBi3.

Structure (CIF):
```
data_KAgBi3
_cell_length_a 5.9649
_cell_length_b 5.9649
_cell_length_c 5.9649
_cell_angle_alpha 90.00
_cell_angle_beta 90.00
_cell_angle_gamma 90.00
_space_group_name_H-M_alt 'P m -3 m'
_space_group_IT_number 221
_space_group_name_Hall '-P 4 2 3'
loop_
_atom_site_label
_atom_site_type_symbol
_atom_site_fract_x
_atom_site_fract_y
_atom_site_fract_z
K1 K 0.0000 0.0000 0.0000
Ag1 Ag 0.5000 0.5000 0.5000
Bi1 Bi 0.0000 0.0000 0.5000
```

Summary:
calculated density	6.1	g/cm3
DOS(E_F)	9.10	states/eV/f.u.
total energy	-9.6	eV for the cell shown
E above lowest polymorph	5.18	eV per formula unit
energy relative to the elements	116	kJ/mol of atoms